[1]
## SrBO3 (PBE-GGA)

Data for a relaxed structure of SrBO3.

```
SrBO3
1.0
-4.658 4.490 -0.736
-0.984 -0.203 4.991
6.014 6.477 1.449
O Sr B
12 4 4
direct
0.277 0.084 0.250 O
0.106 0.688 0.053 O
0.894 0.312 0.947 O
0.394 0.188 0.553 O
0.777 0.416 0.250 O
0.606 0.812 0.053 O
0.223 0.584 0.750 O
0.394 0.188 0.947 O
0.106 0.688 0.447 O
0.894 0.312 0.553 O
0.606 0.812 0.447 O
0.723 0.916 0.750 O
0.397 0.552 0.250 Sr
0.603 0.448 0.750 Sr
0.103 0.052 0.750 Sr
0.897 0.948 0.250 Sr
0.500 0.000 0.000 B
0.500 0.000 0.500 B
0.000 0.500 0.500 B
0.000 0.500 0.000 B
```

Summary:
total energy = -6.715 eV per atom

---

[2]
## SrBO3 (PBE-GGA)

Data for a relaxed structure of SrBO3.

```
SrBO3
1.0
-0.562 4.817 -3.251
-6.761 -1.122 -0.493
-1.046 3.770 5.767
B O Sr
4 12 4
direct
0.250 0.711 0.423 B
0.750 0.289 0.577 B
0.750 0.211 0.077 B
0.250 0.789 0.923 B
0.250 0.986 0.964 O
0.045 0.696 0.902 O
0.455 0.804 0.402 O
0.455 0.696 0.902 O
0.955 0.304 0.098 O
0.250 0.514 0.464 O
0.045 0.804 0.402 O
0.545 0.304 0.098 O
0.545 0.196 0.598 O
0.750 0.486 0.536 O
0.750 0.014 0.036 O
0.955 0.196 0.598 O
0.250 0.353 0.822 Sr
0.250 0.147 0.322 Sr
0.750 0.853 0.678 Sr
0.750 0.647 0.178 Sr
```

Summary:
total energy = -7.055 eV per atom

---

[3]
## SrB2O4 (PBE-GGA)

Data for a relaxed structure of SrB2O4.

```
SrB2O4
1.0
-3.893 -1.702 1.080
1.888 -0.207 6.479
-4.409 11.127 1.640
O B Sr
16 8 4
direct
0.236 0.591 0.090 O
0.764 0.091 0.090 O
0.354 0.146 0.212 O
0.264 0.409 0.590 O
0.264 0.091 0.410 O
0.354 0.354 0.788 O
0.736 0.909 0.590 O
0.146 0.646 0.288 O
0.146 0.854 0.712 O
0.764 0.409 0.910 O
0.854 0.146 0.288 O
0.236 0.909 0.910 O
0.646 0.646 0.212 O
0.854 0.354 0.712 O
0.736 0.591 0.410 O
0.646 0.854 0.788 O
0.328 0.624 0.194 B
0.672 0.376 0.806 B
0.828 0.876 0.694 B
0.172 0.124 0.306 B
0.328 0.876 0.806 B
0.828 0.624 0.306 B
0.172 0.376 0.694 B
0.672 0.124 0.194 B
0.736 0.250 0.500 Sr
0.264 0.750 0.500 Sr
0.764 0.750 0.000 Sr
0.236 0.250 0.000 Sr
```

Summary:
polymorph energy (0 for the lowest one) = 0 meV per atom
D(E_F) = 0.00 states/eV/f.u.
total energy = -7.706 eV per atom

---

[4]
## SrB4O7 (PBE-GGA)

Data for a relaxed structure of SrB4O7.

```
SrB4O7
1.0
4.293 0.000 0.000
0.000 17.316 0.000
0.000 -8.658 14.996
B O Sr
36 63 9
direct
0.091 0.711 0.519 B
0.723 0.037 0.858 B
0.322 0.210 0.772 B
0.005 0.151 0.514 B
0.437 0.891 0.117 B
0.949 0.841 0.672 B
0.678 0.136 0.620 B
0.888 0.512 0.508 B
0.723 0.142 0.179 B
0.437 0.883 0.774 B
0.825 0.664 0.835 B
0.757 0.699 0.172 B
0.825 0.165 0.829 B
0.055 0.160 0.961 B
0.949 0.328 0.169 B
0.400 0.893 0.442 B
0.322 0.228 0.438 B
0.678 0.485 0.864 B
0.322 0.562 0.790 B
0.400 0.558 0.451 B
0.400 0.549 0.107 B
0.091 0.808 0.289 B
0.091 0.481 0.192 B
0.005 0.486 0.637 B
0.757 0.472 0.301 B
0.888 0.492 0.005 B
0.437 0.226 0.109 B
0.949 0.831 0.159 B
0.055 0.801 0.840 B
0.678 0.380 0.515 B
0.723 0.821 0.963 B
0.825 0.171 0.336 B
0.757 0.828 0.528 B
0.055 0.039 0.199 B
0.005 0.363 0.849 B
0.888 0.995 0.488 B
0.904 0.731 0.254 O
0.146 0.948 0.497 O
0.002 0.542 0.603 O
0.305 0.984 0.170 O
0.695 0.073 0.804 O
0.828 0.881 0.617 O
0.751 0.047 0.581 O
0.196 0.210 0.508 O
0.284 0.817 0.355 O
0.305 0.830 0.814 O
0.751 0.534 0.953 O
0.573 0.224 0.834 O
0.073 0.150 0.766 O
0.073 0.616 0.850 O
0.696 0.891 0.172 O
0.958 0.714 0.791 O
0.521 0.642 0.153 O
0.646 0.483 0.059 O
0.695 0.731 0.927 O
0.573 0.610 0.776 O
0.002 0.060 0.458 O
0.088 0.861 0.251 O
0.555 0.884 0.032 O
0.828 0.383 0.264 O
0.073 0.234 0.384 O
0.904 0.746 0.476 O
0.442 0.171 0.679 O
0.958 0.209 0.923 O
0.695 0.196 0.269 O
0.088 0.749 0.610 O
0.958 0.077 0.286 O
0.646 0.941 0.424 O
0.305 0.186 0.016 O
0.926 0.067 0.143 O
0.696 0.281 0.109 O
0.521 0.511 0.358 O
0.442 0.508 0.829 O
0.573 0.166 0.390 O
0.819 0.408 0.598 O
0.196 0.298 0.790 O
0.646 0.576 0.517 O
0.751 0.419 0.466 O
0.904 0.524 0.269 O
0.819 0.402 0.809 O
0.555 0.148 0.116 O
0.196 0.902 0.727 O
0.146 0.549 0.052 O
0.196 0.492 0.702 O
0.146 0.503 0.451 O
0.442 0.321 0.492 O
0.828 0.736 0.119 O
0.819 0.191 0.592 O
0.555 0.968 0.852 O
0.088 0.390 0.139 O
0.002 0.397 0.940 O
0.284 0.538 0.183 O
0.696 0.828 0.719 O
0.196 0.273 0.175 O
0.926 0.857 0.924 O
0.284 0.645 0.462 O
0.196 0.825 0.098 O
0.521 0.847 0.489 O
0.926 0.076 0.933 O
0.301 0.000 0.000 Sr
0.296 0.343 0.341 Sr
0.296 0.659 0.002 Sr
0.395 0.333 0.667 Sr
0.498 0.667 0.333 Sr
0.484 0.002 0.327 Sr
0.296 0.998 0.657 Sr
0.484 0.325 0.998 Sr
0.484 0.673 0.675 Sr
```

Summary:
D(E_F) = 0.00 states/eV/f.u.
total energy = -7.866 eV per atom

---

[5]
## SrBO2 (PBE-GGA)

Data for a relaxed structure of SrBO2.

```
SrBO2
1.0
-3.526 -2.804 3.004
5.276 0.204 6.381
-3.846 4.906 0.067
O B Sr
8 4 4
direct
0.800 0.393 0.833 O
0.300 0.107 0.667 O
0.389 0.663 0.851 O
0.200 0.607 0.167 O
0.111 0.163 0.351 O
0.889 0.837 0.649 O
0.700 0.893 0.333 O
0.611 0.337 0.149 O
0.615 0.422 0.996 B
0.385 0.578 0.004 B
0.885 0.922 0.496 B
0.115 0.078 0.504 B
0.613 0.219 0.454 Sr
0.387 0.781 0.546 Sr
0.887 0.719 0.954 Sr
0.113 0.281 0.046 Sr
```

Summary:
D(E_F) = 0.00 states/eV/f.u.
total energy = -7.048 eV per atom

---

[6]
## SrB2O4 (PBE-GGA)

Data for a relaxed structure of SrB2O4.

```
SrB2O4
1.0
-3.236 1.193 -8.655
3.259 -8.399 -2.376
-8.107 -3.853 2.500
B O Sr
24 48 12
direct
0.662 0.613 0.313 B
0.313 0.838 0.113 B
0.162 0.613 0.187 B
0.838 0.113 0.313 B
0.687 0.338 0.387 B
0.338 0.113 0.187 B
0.387 0.813 0.838 B
0.187 0.338 0.113 B
0.338 0.387 0.687 B
0.813 0.838 0.387 B
0.613 0.313 0.662 B
0.313 0.662 0.613 B
0.838 0.387 0.813 B
0.113 0.313 0.838 B
0.887 0.813 0.662 B
0.887 0.687 0.162 B
0.113 0.187 0.338 B
0.187 0.162 0.613 B
0.387 0.687 0.338 B
0.813 0.662 0.887 B
0.662 0.887 0.813 B
0.162 0.887 0.687 B
0.687 0.162 0.887 B
0.613 0.187 0.162 B
0.885 0.824 0.243 O
0.824 0.257 0.385 O
0.743 0.885 0.676 O
0.324 0.257 0.115 O
0.324 0.243 0.615 O
0.219 0.495 0.093 O
0.407 0.781 0.995 O
0.176 0.743 0.615 O
0.757 0.385 0.676 O
0.995 0.093 0.281 O
0.907 0.781 0.505 O
0.495 0.407 0.719 O
0.115 0.324 0.257 O
0.781 0.995 0.407 O
0.907 0.719 0.005 O
0.243 0.885 0.824 O
0.115 0.176 0.757 O
0.615 0.324 0.243 O
0.385 0.676 0.757 O
0.257 0.115 0.324 O
0.093 0.219 0.495 O
0.781 0.505 0.907 O
0.005 0.593 0.219 O
0.615 0.176 0.743 O
0.005 0.907 0.719 O
0.505 0.907 0.781 O
0.407 0.719 0.495 O
0.505 0.593 0.281 O
0.243 0.615 0.324 O
0.676 0.757 0.385 O
0.719 0.005 0.907 O
0.176 0.757 0.115 O
0.593 0.281 0.505 O
0.757 0.115 0.176 O
0.257 0.385 0.824 O
0.743 0.615 0.176 O
0.281 0.505 0.593 O
0.219 0.005 0.593 O
0.719 0.495 0.407 O
0.281 0.995 0.093 O
0.676 0.743 0.885 O
0.385 0.824 0.257 O
0.995 0.407 0.781 O
0.495 0.093 0.219 O
0.824 0.243 0.885 O
0.093 0.281 0.995 O
0.885 0.676 0.743 O
0.593 0.219 0.005 O
0.129 0.871 0.371 Sr
0.000 0.000 0.000 Sr
0.129 0.629 0.871 Sr
0.629 0.629 0.629 Sr
0.371 0.371 0.371 Sr
0.500 0.000 0.500 Sr
0.371 0.129 0.871 Sr
0.500 0.500 0.000 Sr
0.871 0.129 0.629 Sr
0.629 0.871 0.129 Sr
0.000 0.500 0.500 Sr
0.871 0.371 0.129 Sr
```

Summary:
polymorph energy (0 for the lowest one) = 34 meV per atom
D(E_F) = 0.00 states/eV/f.u.
total energy = -7.672 eV per atom

---

Number 1: formation energy from raw total energies -2.0682 eV/atom. Number 2: formation energy from raw total energies -2.4086 eV/atom. Number 3: formation energy from raw total energies -2.7245 eV/atom. Number 4: formation energy from raw total energies -2.6077 eV/atom. Number 5: formation energy from raw total energies -2.4794 eV/atom. Number 6: formation energy from raw total energies -2.6906 eV/atom.